No. 1
A relaxed structure of LiTeSN2. Source: Alexandria, functional GGA-PBE.

Lattice parameters (Å, degrees): 3.536 3.536 7.454 90.00 90.00 90.00
Element x y z (fractional)
Li (0.000, 0.000, 0.000)
Te (0.500, 0.500, 0.000)
S (0.500, 0.500, 0.500)
N (0.000, 0.500, 0.500)
N (0.500, 0.000, 0.500)

Magnetic moment, μB/atom: 0.147
Fermi-level density of states, states/eV per cell: 2.60
Uncorrected formation energy, eV per atom: 1.24


No. 2
A relaxed structure of Li2TlSN. Source: Alexandria, functional GGA-PBE.

Lattice parameters (Å, degrees): 4.159 4.159 4.443 90.00 90.00 90.00
Element x y z (fractional)
Li (0.000, 0.500, 0.000)
Li (0.500, 0.000, 0.000)
Tl (0.000, 0.000, 0.500)
S (0.500, 0.500, 0.500)
N (0.000, 0.000, 0.000)

Magnetic moment, μB/atom: 0.000
Fermi-level density of states, states/eV per cell: 1.01
Uncorrected formation energy, eV per atom: -0.23